Record 1
Below is a geometry-optimized NaSr2Cd structure, with properties calculated at the GGA-PBE level.

a b c (Å): 10.070 10.070 10.070
angles (deg): 35.53 154.90 155.27
Fractional positions:
Na 0.000 0.000 0.000
Cd 0.000 0.500 0.500
Sr 0.000 0.672 0.672
Sr 0.000 0.328 0.328

Output
SG = Immm
Energy of formation from the pure elements = 44 meV per atom


Record 2
Below is a geometry-optimized EuSnAu structure, with properties calculated at the GGA-PBE level.

a b c (Å): 3.773 4.864 4.864
angles (deg): 120.00 90.00 90.00
Site moments in Bohr magnetons follow the coordinates.
Fractional positions:
Sn 0.167 0.000 0.000  -0.02
Eu 0.667 0.667 0.333  6.81
Au 0.167 0.333 0.667  -0.01

Output
SG = P-6m2
Energy of formation from the pure elements = -751 meV per atom


Record 3
Below is a geometry-optimized HfMo3Os structure, with properties calculated at the GGA-PBE level.

a b c (Å): 4.662 4.662 4.662
angles (deg): 90.00 90.00 90.00
Fractional positions:
Mo 0.500 0.000 0.000
Mo 0.000 0.000 0.500
Mo 0.000 0.500 0.000
Hf 0.000 0.000 0.000
Os 0.500 0.500 0.500

Output
Energy relative to the lowest polymorph listed for this composition = 1122 meV per atom
SG = Pm-3m
Energy of formation from the pure elements = 2414 meV per atom


Record 4
Below is a geometry-optimized Cd2Ag8Sn structure, with properties calculated at the GGA-PBE level.

a b c (Å): 5.152 7.424 7.424
angles (deg): 59.14 76.24 76.24
Fractional positions:
Cd 0.538 0.859 0.859
Ag 0.212 0.380 0.758
Ag 0.094 0.766 0.766
Ag 0.906 0.234 0.234
Ag 0.788 0.620 0.242
Cd 0.462 0.141 0.141
Ag 0.331 0.365 0.365
Ag 0.669 0.635 0.635
Sn 0.000 0.000 0.000
Ag 0.788 0.242 0.620
Ag 0.212 0.758 0.380

Output
Energy relative to the lowest polymorph listed for this composition = 113 meV per atom
SG = C2/m
Energy of formation from the pure elements = 129 meV per atom


Record 5
Below is a geometry-optimized K2LaIr structure, with properties calculated at the GGA-PBE level.

a b c (Å): 13.132 13.132 13.132
angles (deg): 14.35 14.35 14.35
Site moments in Bohr magnetons follow the coordinates.
Fractional positions:
K 0.482 0.482 0.482  0.00
Ir 0.750 0.750 0.750  0.53
La 0.250 0.250 0.250  0.39
K 0.018 0.018 0.018  0.00

Output
Energy relative to the lowest polymorph listed for this composition = 981 meV per atom
SG = R-3m
Energy of formation from the pure elements = 900 meV per atom


Record 6
Below is a geometry-optimized Li2Ga2Pt structure, with properties calculated at the GGA-PBE level.

a b c (Å): 3.407 3.407 7.099
angles (deg): 76.12 76.12 90.00
Fractional positions:
Li 0.750 0.250 0.500
Ga 0.598 0.598 0.804
Ga 0.402 0.402 0.196
Li 0.250 0.750 0.500
Pt 0.000 0.000 0.000

Output
Energy relative to the lowest polymorph listed for this composition = 356 meV per atom
SG = I4/mmm
Energy of formation from the pure elements = -278 meV per atom


Record 7
Below is a geometry-optimized Ti3Ga2Co3 structure, with properties calculated at the GGA-PBE level.

a b c (Å): 2.937 4.231 9.310
angles (deg): 103.13 99.08 90.00
Site moments in Bohr magnetons follow the coordinates.
Fractional positions:
Co 0.891 0.891 0.782  -0.12
Ga 0.272 0.772 0.543  0.00
Co 0.000 0.500 0.000  0.45
Ti 0.377 0.377 0.754  0.00
Ti 0.623 0.623 0.246  0.00
Co 0.109 0.109 0.218  -0.12
Ti 0.500 0.000 0.000  -0.01
Ga 0.728 0.228 0.457  0.00

Output
SG = Immm
Energy of formation from the pure elements = -300 meV per atom


Record 8
Below is a geometry-optimized AcPrSeI structure, with properties calculated at the GGA-PBE level.

a b c (Å): 4.204 4.213 8.926
angles (deg): 89.98 103.59 120.05
Site moments in Bohr magnetons follow the coordinates.
Fractional positions:
I 0.959 0.378 0.352  0.00
Se 0.312 0.554 0.881  0.01
Ac 0.495 0.145 0.657  0.11
Pr 0.112 0.954 0.080  0.05

Output
ΔE_f (raw) = -5.41 eV/f.u.
SG = Cm


Record 9
Below is a geometry-optimized YCdGe2 structure, with properties calculated at the GGA-PBE level.

a b c (Å): 4.112 4.533 4.533
angles (deg): 90.00 90.00 90.00
Fractional positions:
Y 0.500 0.000 0.000
Ge 0.000 0.500 0.000
Ge 0.000 0.000 0.500
Cd 0.500 0.500 0.500

Output
SG = P4/mmm
Energy of formation from the pure elements = -408 meV per atom


Record 10
Below is a geometry-optimized BaHg2Ru structure, with properties calculated at the GGA-PBE level.

a b c (Å): 4.582 5.248 5.257
angles (deg): 65.85 90.00 90.00
Fractional positions:
Hg 0.000 0.077 0.077
Ba 0.500 0.750 0.750
Ru 0.500 0.250 0.250
Hg 0.000 0.423 0.423

Output
SG = Cmmm
Energy of formation from the pure elements = 242 meV per atom


Record 11
Below is a geometry-optimized LaTbRuI structure, with properties calculated at the GGA-PBE level.

a b c (Å): 4.108 4.111 8.506
angles (deg): 90.01 103.92 119.98
Fractional positions:
I 0.961 0.379 0.354
Ru 0.306 0.550 0.870
Tb 0.095 0.946 0.056
La 0.517 0.156 0.689

Output
ΔE_f (raw) = -2.75 eV/f.u.
SG = Cm


Record 12
Below is a geometry-optimized Mg3CuPd2 structure, with properties calculated at the GGA-PBE level.

a b c (Å): 3.101 4.551 7.211
angles (deg): 108.39 90.00 90.00
Fractional positions:
Mg 0.500 0.831 0.663
Mg 0.500 0.500 0.000
Pd 0.000 0.337 0.673
Pd 0.000 0.663 0.327
Mg 0.500 0.169 0.337
Cu 0.000 0.000 0.000

Output
SG = Cmmm
Energy of formation from the pure elements = -522 meV per atom


Record-wise total moment values, in μB/f.u.: 0.0, 7.0, 0.0, 0.0, 1.3, 0.0, 0.2, 0.5, 0.0, 0.0, 0.0, 0.0
Record-wise V values, in A^3/atom: 45.3, 25.8, 20.3, 21.3, 30.3, 15.5, 13.9, 32.9, 21.1, 28.8, 29.9, 16.1